[1]
Density functional theory data (PBE) for an optimized crystal structure of MgZn2Rh.

N(E_F)   1.23 states/eV/f.u.
Energy   -3.22 eV per atom
Space group   Imm2, No. 44
Calculated volume   14.923 Å³ per atom
Magnetization   0.00 μB/atom

a = 4.955 Å, b = 4.955 Å, c = 3.902 Å
α = 66.81°, β = 66.81°, γ = 43.47°
Positions (direct):
Zn (0.999, 0.999, 0.001)
Zn (0.746, 0.746, 0.754)
Rh (0.253, 0.253, 0.246)
Mg (0.501, 0.501, 0.499)

***

[2]
Density functional theory data (PBE) for an optimized crystal structure of MgZn2Rh.

N(E_F)   1.55 states/eV/f.u.
Energy   -2.93 eV per atom
Space group   I-42d, No. 122
Calculated volume   16.675 Å³ per atom
Magnetization   0.00 μB/atom

a = 3.785 Å, b = 3.785 Å, c = 9.686 Å
α = 78.73°, β = 78.73°, γ = 90.00°
Positions (direct):
Rh (0.000, 0.000, 0.000)
Zn (0.375, 0.345, 0.750)
Zn (0.875, 0.905, 0.750)
Mg (0.250, 0.750, 0.500)
Zn (0.095, 0.625, 0.250)
Mg (0.500, 0.500, 0.000)
Rh (0.750, 0.250, 0.500)
Zn (0.655, 0.125, 0.250)

***

[3]
Density functional theory data (PBE) for an optimized crystal structure of MgZnRh.

N(E_F)   0.97 states/eV/f.u.
Energy   -3.81 eV per atom
Space group   Pm, No. 6
Calculated volume   15.346 Å³ per atom
Magnetization   0.00 μB/atom

a = 4.389 Å, b = 3.113 Å, c = 6.921 Å
α = 90.00°, β = 103.17°, γ = 90.00°
Positions (direct):
Rh (0.872, 0.000, 0.049)
Zn (0.756, 0.500, 0.730)
Zn (0.084, 0.500, 0.343)
Rh (0.224, 0.000, 0.650)
Mg (0.606, 0.000, 0.384)
Mg (0.351, 0.500, 0.986)

***

[4]
Density functional theory data (PBE) for an optimized crystal structure of Mg3Zn2Rh2.

N(E_F)   3.41 states/eV/f.u.
Energy   -3.45 eV per atom
Space group   Cm, No. 8
Calculated volume   16.994 Å³ per atom
Magnetization   0.00 μB/atom

a = 3.020 Å, b = 5.008 Å, c = 8.389 Å
α = 85.91°, β = 79.63°, γ = 72.45°
Positions (direct):
Zn (0.846, 0.838, 0.470)
Rh (0.598, 0.515, 0.289)
Mg (0.570, 0.066, 0.795)
Mg (0.194, 0.596, 0.016)
Zn (0.090, 0.294, 0.525)
Mg (0.364, 0.066, 0.206)
Rh (0.340, 0.622, 0.698)